No. 1
The following is a PBE-GGA calculation of an optimized crystal structure of CeEr2PuN4, from the Alexandria database.

Computed properties:
formation energy without anion corrections = -1.555 eV/atom

Lattice parameters (Å, degrees): 3.4800 6.0154 6.0363 109.62 90.00 90.00
Last column: magnetic moment on the atom in μB.
Sites, in units of the cell vectors:
N  0.0000  0.7527  0.2548  -0.06
N  0.5000  0.2452  0.2501  -0.11
Ce  0.5000  0.5000  0.0000  0.44
Er  0.0000  0.5000  0.5000  0.08
Er  0.5000  0.0000  0.5000  0.08
N  0.5000  0.7548  0.7499  -0.11
Pu  0.0000  0.0000  0.0000  4.70
N  0.0000  0.2473  0.7452  -0.06

=====

No. 2
The following is a PBE-GGA calculation of an optimized crystal structure of PrNd2Al, from the Alexandria database.

Computed properties:
energy above the lowest structure with this stoichiometry = 4 kJ/mol of formula units
DFT formation energy = -60 kJ/mol of formula units

Lattice parameters (Å, degrees): 3.6212 3.6212 9.4135 90.00 90.00 90.00
Sites, in units of the cell vectors:
Nd  0.0000  0.0000  0.2107
Al  0.5000  0.5000  0.0000
Nd  0.0000  0.0000  0.7893
Pr  0.5000  0.5000  0.5000

=====

No. 3
The following is a PBE-GGA calculation of an optimized crystal structure of ZrAlSe2, from the Alexandria database.

Computed properties:
formation energy without anion corrections = -0.413 eV/atom

Lattice parameters (Å, degrees): 6.1027 6.1027 7.0681 64.42 64.42 90.00
Sites, in units of the cell vectors:
Zr  0.0000  0.0000  0.0000
Se  0.1500  0.6250  0.2500
Se  0.6000  0.1250  0.2500
Se  0.3750  0.4000  0.7500
Al  0.5000  0.5000  0.0000
Zr  0.7500  0.2500  0.5000
Se  0.8750  0.8500  0.7500
Al  0.2500  0.7500  0.5000

=====

No. 4
The following is a PBE-GGA calculation of an optimized crystal structure of Dy3Mg3Cd, from the Alexandria database.

Computed properties:
DFT formation energy = -7 kJ/mol of formula units

Lattice parameters (Å, degrees): 7.5247 7.5247 6.9378 90.02 90.02 88.44
Last column: magnetic moment on the atom in μB.
Sites, in units of the cell vectors:
Mg  0.6717  0.3283  0.0000  0.00
Dy  0.0000  0.0000  0.7495  0.24
Dy  0.0000  0.0000  0.2505  0.24
Mg  0.2816  0.2816  0.5012  0.00
Cd  0.2646  0.2646  0.9994  0.00
Mg  0.7085  0.2915  0.5000  0.00
Mg  0.7184  0.7184  0.4988  0.00
Dy  0.5004  0.9996  0.7537  0.04
Cd  0.7354  0.7354  0.0006  0.00
Mg  0.2915  0.7085  0.5000  0.00
Dy  0.4996  0.0004  0.2463  0.04
Dy  0.0004  0.4996  0.2463  0.04
Mg  0.3283  0.6717  0.0000  0.00
Dy  0.9996  0.5004  0.7537  0.04

=====

No. 5
The following is a PBE-GGA calculation of an optimized crystal structure of Rb2HoCl5, from the Alexandria database.

Computed properties:
energy above the lowest structure with this stoichiometry = 22 kJ/mol of formula units
formation energy without anion corrections = -2.137 eV/atom

Lattice parameters (Å, degrees): 5.3991 8.7762 14.8103 90.00 90.00 107.91
Sites, in units of the cell vectors:
Cl  0.7352  0.4704  0.6190
Cl  0.9547  0.9094  0.8728
Rb  0.1408  0.2816  0.9350
Cl  0.0453  0.0906  0.3728
Cl  0.0453  0.0906  0.1272
Cl  0.2648  0.5296  0.3810
Rb  0.8592  0.7184  0.4350
Rb  0.1408  0.2816  0.5650
Cl  0.2648  0.5296  0.1190
Ho  0.8445  0.6890  0.7500
Cl  0.6717  0.3433  0.2500
Ho  0.1555  0.3110  0.2500
Cl  0.7352  0.4704  0.8810
Cl  0.3283  0.6567  0.7500
Cl  0.9547  0.9094  0.6272
Rb  0.8592  0.7184  0.0650

=====

No. 6
The following is a PBE-GGA calculation of an optimized crystal structure of ZnAgTe, from the Alexandria database.

Computed properties:
energy above the lowest structure with this stoichiometry = 0 kJ/mol of formula units
formation energy without anion corrections = -0.055 eV/atom

Lattice parameters (Å, degrees): 4.4197 9.1895 4.5387 90.03 120.96 91.16
Sites, in units of the cell vectors:
Ag  0.6523  0.4230  0.3260
Te  0.6728  0.7374  0.3367
Zn  0.0083  0.8686  0.0056
Te  0.3272  0.2626  0.6633
Zn  0.9917  0.1314  0.9944
Ag  0.3477  0.5770  0.6740

=====

No. 7
The following is a PBE-GGA calculation of an optimized crystal structure of AcZnPt2, from the Alexandria database.

Computed properties:
DFT formation energy = -355 kJ/mol of formula units

Lattice parameters (Å, degrees): 4.4354 4.4354 5.8035 67.53 67.53 60.00
Sites, in units of the cell vectors:
Zn  0.5000  0.5000  0.5000
Pt  0.2091  0.2091  0.3726
Pt  0.7909  0.7909  0.6274
Ac  0.0000  0.0000  0.0000

=====

No. 8
The following is a PBE-GGA calculation of an optimized crystal structure of TmCoPb, from the Alexandria database.

Computed properties:
DFT formation energy = 2 kJ/mol of formula units

Lattice parameters (Å, degrees): 6.4128 6.4128 11.3893 90.00 90.00 120.00
Sites, in units of the cell vectors:
Tm  0.5000  0.0000  0.9456
Pb  0.5000  0.0000  0.6667
Co  0.3992  0.7983  0.1667
Pb  0.0000  0.0000  0.1667
Tm  0.0000  0.5000  0.0544
Pb  0.0000  0.0000  0.5000
Co  0.6008  0.2017  0.1667
Tm  0.0000  0.5000  0.6123
Pb  0.0000  0.5000  0.3333
Tm  0.5000  0.0000  0.3877
Pb  0.5000  0.5000  0.0000
Tm  0.5000  0.5000  0.2790
Tm  0.5000  0.5000  0.7210
Co  0.6008  0.3992  0.5000
Co  0.2017  0.6008  0.8333
Co  0.7983  0.3992  0.8333
Co  0.3992  0.6008  0.5000
Pb  0.0000  0.0000  0.8333

=====

No. 9
The following is a PBE-GGA calculation of an optimized crystal structure of Y5Ag, from the Alexandria database.

Computed properties:
energy above the lowest structure with this stoichiometry = 258 kJ/mol of formula units
DFT formation energy = 211 kJ/mol of formula units

Lattice parameters (Å, degrees): 6.4423 6.4423 6.4423 60.00 60.00 60.00
Sites, in units of the cell vectors:
Y  0.7500  0.7500  0.7500
Y  0.3757  0.3757  0.8730
Y  0.8730  0.3757  0.3757
Ag  0.0000  0.0000  0.0000
Y  0.3757  0.3757  0.3757
Y  0.3757  0.8730  0.3757

=====

No. 10
The following is a PBE-GGA calculation of an optimized crystal structure of CaAcAgAu, from the Alexandria database.

Computed properties:
energy above the lowest structure with this stoichiometry = 0 kJ/mol of formula units
DFT formation energy = -217 kJ/mol of formula units

Lattice parameters (Å, degrees): 4.1582 4.7938 6.2074 90.00 109.57 90.00
Sites, in units of the cell vectors:
Ca  0.1368  0.0000  0.2737
Ac  0.8615  0.5000  0.7230
Ag  0.5813  0.5000  0.1626
Au  0.4204  0.0000  0.8408

=====

No. 11
The following is a PBE-GGA calculation of an optimized crystal structure of HIrSe3, from the Alexandria database.

Computed properties:
energy above the lowest structure with this stoichiometry = 26 kJ/mol of formula units

Lattice parameters (Å, degrees): 4.8818 6.4320 6.9523 77.14 87.39 69.97
Sites, in units of the cell vectors:
Ir  0.6684  0.4699  0.9696
Se  0.6462  0.7835  0.3962
H  0.8662  0.6224  0.0354
Se  0.0963  0.1566  0.1588
Se  0.5224  0.1442  0.9274
Se  0.9470  0.4598  0.6601
Ir  0.9518  0.8298  0.1113
Se  0.3966  0.5272  0.2707
Se  0.2476  0.8052  0.8099
H  0.8648  0.2884  0.5793

=====

No. 12
The following is a PBE-GGA calculation of an optimized crystal structure of GaCu14Sn, from the Alexandria database.

Computed properties:
DFT formation energy = -5 kJ/mol of formula units

Lattice parameters (Å, degrees): 5.2974 5.2974 7.2780 90.00 90.00 89.94
Sites, in units of the cell vectors:
Cu  0.3750  0.8750  0.0000
Cu  0.1298  0.1298  0.7614
Cu  0.8750  0.8750  0.0000
Cu  0.1299  0.6201  0.7614
Cu  0.1299  0.6201  0.2386
Ga  0.3750  0.3750  0.5000
Cu  0.3750  0.3750  0.0000
Cu  0.3750  0.8750  0.5000
Cu  0.6201  0.1299  0.7614
Cu  0.6202  0.6202  0.7614
Cu  0.8750  0.3750  0.5000
Cu  0.8750  0.3750  0.0000
Cu  0.6202  0.6202  0.2386
Cu  0.1298  0.1298  0.2386
Cu  0.6201  0.1299  0.2386
Sn  0.8750  0.8750  0.5000